CoI2F2 | PBE+U | relaxed

Lattice parameters (Å, degrees): 7.1985 7.1985 7.1985 149.93 149.93 43.05
Sites, in units of the cell vectors:
Co: 0.0000 0.0000 0.0000
I: 0.3882 0.3882 0.0000
I: 0.6118 0.6118 0.0000
F: 0.2500 0.7500 0.5000
F: 0.7500 0.2500 0.5000

Values from the calculation:
Excess energy over the best structure of this formula in the dataset, meV/atom: 0.0